Density functional theory data (PBE-GGA) for a relaxed RePb crystal.

electronic total energy	-0.5377	Ry/atom
total moment	0.000	μB/f.u.
E above lowest polymorph	378	meV per atom
calculated formation energy	0.762	eV/atom

Lattice parameters (Å, degrees): 6.534 6.952 7.712 90.00 90.00 90.00
Element x y z (fractional)
Re (0.050, 0.055, 0.068)
Re (0.161, 0.842, 0.351)
Re (0.339, 0.158, 0.851)
Re (0.450, 0.945, 0.568)
Re (0.550, 0.445, 0.932)
Re (0.661, 0.658, 0.649)
Re (0.839, 0.342, 0.149)
Re (0.950, 0.555, 0.432)
Pb (0.083, 0.816, 0.728)
Pb (0.162, 0.591, 0.065)
Pb (0.338, 0.409, 0.565)
Pb (0.417, 0.184, 0.228)
Pb (0.583, 0.684, 0.272)
Pb (0.662, 0.909, 0.935)
Pb (0.838, 0.091, 0.435)
Pb (0.917, 0.316, 0.772)